[1]
# PBE Sc2TaRe2, relaxed
# ΔE to the lowest computed polymorph, meV per atom: 407
data_Sc2TaRe2
_cell_length_a 8.0912
_cell_length_b 8.0912
_cell_length_c 2.7644
_cell_angle_alpha 90.00
_cell_angle_beta 90.00
_cell_angle_gamma 90.00
_symmetry_space_group_name_H-M 'P 4/m b m'
_symmetry_Int_Tables_number 127
_symmetry_space_group_name_Hall '-P 4 2ab'
loop_
_atom_site_label
_atom_site_fract_x
_atom_site_fract_y
_atom_site_fract_z
Sc1 0.1227 0.3773 0.0000
Ta1 0.0000 0.0000 0.0000
Re1 0.1820 0.6820 0.5000



[2]
The following is a DFT calculation (PBE) of ScTaRe2 after structural relaxation.

Structure (CIF):
```
data_ScTaRe2
_cell_length_a 5.7102
_cell_length_b 8.9359
_cell_length_c 2.7839
_cell_angle_alpha 90.00
_cell_angle_beta 111.00
_cell_angle_gamma 90.00
_symmetry_space_group_name_H-M 'C 1 2/m 1'
_symmetry_Int_Tables_number 12
loop_
_symmetry_equiv_pos_as_xyz
'x,y,z'
'-x,-y,-z'
'-x,y,-z'
'x,-y,z'
'x+1/2,y+1/2,z'
'-x+1/2,-y+1/2,-z'
'-x+1/2,y+1/2,-z'
'x+1/2,-y+1/2,z'
loop_
_atom_site_label
_atom_site_fract_x
_atom_site_fract_y
_atom_site_fract_z
Sc1 0.0000 0.0000 0.0000
Ta1 0.0000 0.5000 0.0000
Re1 0.2500 0.2500 0.5000
```



[3]
# PBE Sc2TaRe2, relaxed
# ΔE to the lowest computed polymorph, meV per atom: 0
data_Sc2TaRe2
_cell_length_a 6.6448
_cell_length_b 6.6448
_cell_length_c 4.4346
_cell_angle_alpha 90.00
_cell_angle_beta 90.00
_cell_angle_gamma 90.00
_symmetry_space_group_name_H-M 'P 4/m b m'
_symmetry_Int_Tables_number 127
_symmetry_space_group_name_Hall '-P 4 2ab'
loop_
_atom_site_label
_atom_site_fract_x
_atom_site_fract_y
_atom_site_fract_z
Sc1 0.1743 0.3257 0.0000
Ta1 0.0000 0.0000 0.5000
Re1 0.1306 0.6306 0.5000



[4]
The following is a DFT calculation (PBE) of ScTaRe2 after structural relaxation.

Structure (CIF):
```
data_ScTaRe2
_cell_length_a 3.1947
_cell_length_b 4.6963
_cell_length_c 8.8788
_cell_angle_alpha 90.00
_cell_angle_beta 90.00
_cell_angle_gamma 90.00
_symmetry_space_group_name_H-M 'I m m m'
_symmetry_Int_Tables_number 71
_symmetry_space_group_name_Hall '-I 2 2'
loop_
_atom_site_label
_atom_site_fract_x
_atom_site_fract_y
_atom_site_fract_z
Sc1 0.0000 0.0000 0.0000
Ta1 0.0000 0.0000 0.5000
Re1 0.0000 0.5000 0.2426
```



[5]
The following is a DFT calculation (PBE) of ScTaRe2 after structural relaxation.

Structure (CIF):
```
data_ScTaRe2
_cell_length_a 2.8253
_cell_length_b 4.5386
_cell_length_c 5.2936
_cell_angle_alpha 90.00
_cell_angle_beta 101.18
_cell_angle_gamma 90.00
_symmetry_space_group_name_H-M 'P 1 m 1'
_symmetry_Int_Tables_number 6
loop_
_symmetry_equiv_pos_as_xyz
'x,y,z'
'x,-y,z'
loop_
_atom_site_label
_atom_site_fract_x
_atom_site_fract_y
_atom_site_fract_z
Sc1 0.0000 0.0000 0.0000
Ta1 0.7205 0.5000 0.2560
Re1 0.2594 0.5000 0.7519
Re2 0.4890 0.0000 0.5070
```



[6]
# PBE ScTaRe, relaxed
# ΔE to the lowest computed polymorph, meV per atom: 16
data_ScTaRe
_cell_length_a 4.5815
_cell_length_b 4.5815
_cell_length_c 2.9045
_cell_angle_alpha 90.00
_cell_angle_beta 90.00
_cell_angle_gamma 120.00
_symmetry_space_group_name_H-M 'P 3 m 1'
_symmetry_Int_Tables_number 156
loop_
_symmetry_equiv_pos_as_xyz
'x,y,z'
'-y,x-y,z'
'-x+y,-x,z'
'-y,-x,z'
'-x+y,y,z'
'x,x-y,z'
loop_
_atom_site_label
_atom_site_fract_x
_atom_site_fract_y
_atom_site_fract_z
Sc1 0.0000 0.0000 0.0000
Ta1 0.3333 0.6667 0.3956
Re1 0.6667 0.3333 0.6624



[7]
# PBE ScTaRe, relaxed
# ΔE to the lowest computed polymorph, meV per atom: 154
data_ScTaRe
_cell_length_a 3.2619
_cell_length_b 4.7957
_cell_length_c 13.8515
_cell_angle_alpha 90.00
_cell_angle_beta 90.00
_cell_angle_gamma 90.00
_symmetry_space_group_name_H-M 'F m m 2'
_symmetry_Int_Tables_number 42
_symmetry_space_group_name_Hall 'F 2 -2'
loop_
_atom_site_label
_atom_site_fract_x
_atom_site_fract_y
_atom_site_fract_z
Sc1 0.0000 0.0000 0.0000
Ta1 0.0000 0.0000 0.3117
Re1 0.0000 0.0000 0.6626



[8]
The following is a DFT calculation (PBE) of ScTaRe2 after structural relaxation.

Structure (CIF):
```
data_ScTaRe2
_cell_length_a 7.2980
_cell_length_b 7.2980
_cell_length_c 5.4846
_cell_angle_alpha 90.00
_cell_angle_beta 90.00
_cell_angle_gamma 90.00
_symmetry_space_group_name_H-M 'I -4 2 d'
_symmetry_Int_Tables_number 122
_symmetry_space_group_name_Hall 'I -4 2bw'
loop_
_atom_site_label
_atom_site_fract_x
_atom_site_fract_y
_atom_site_fract_z
Sc1 0.0000 0.0000 0.0000
Ta1 0.0000 0.0000 0.5000
Re1 0.2330 0.2500 0.6250
```



[9]
# PBE ScTaRe, relaxed
# ΔE to the lowest computed polymorph, meV per atom: 369
data_ScTaRe
_cell_length_a 6.2765
_cell_length_b 6.2765
_cell_length_c 6.2765
_cell_angle_alpha 90.00
_cell_angle_beta 90.00
_cell_angle_gamma 90.00
_symmetry_space_group_name_H-M 'F -4 3 m'
_symmetry_Int_Tables_number 216
_symmetry_space_group_name_Hall 'F -4 2 3'
loop_
_atom_site_label
_atom_site_fract_x
_atom_site_fract_y
_atom_site_fract_z
Sc1 0.0000 0.0000 0.0000
Ta1 0.0000 0.0000 0.5000
Re1 0.2500 0.2500 0.7500



[10]
The following is a DFT calculation (PBE) of Sc4TaRe after structural relaxation.

Structure (CIF):
```
data_Sc4TaRe
_cell_length_a 7.7736
_cell_length_b 7.7736
_cell_length_c 7.7736
_cell_angle_alpha 90.00
_cell_angle_beta 90.00
_cell_angle_gamma 90.00
_symmetry_space_group_name_H-M 'F -4 3 m'
_symmetry_Int_Tables_number 216
_symmetry_space_group_name_Hall 'F -4 2 3'
loop_
_atom_site_label
_atom_site_fract_x
_atom_site_fract_y
_atom_site_fract_z
Sc1 0.1250 0.1250 0.1250
Ta1 0.2500 0.2500 0.7500
Re1 0.0000 0.0000 0.5000
```



[11]
# PBE ScTaRe, relaxed
# ΔE to the lowest computed polymorph, meV per atom: 253
data_ScTaRe
_cell_length_a 2.7465
_cell_length_b 4.7054
_cell_length_c 8.2242
_cell_angle_alpha 90.00
_cell_angle_beta 90.00
_cell_angle_gamma 90.00
_symmetry_space_group_name_H-M 'I m m 2'
_symmetry_Int_Tables_number 44
loop_
_symmetry_equiv_pos_as_xyz
'x,y,z'
'-x,-y,z'
'-x,y,z'
'x,-y,z'
'x+1/2,y+1/2,z+1/2'
'-x+1/2,-y+1/2,z+1/2'
'-x+1/2,y+1/2,z+1/2'
'x+1/2,-y+1/2,z+1/2'
loop_
_atom_site_label
_atom_site_fract_x
_atom_site_fract_y
_atom_site_fract_z
Sc1 0.0000 0.0000 0.0000
Ta1 0.0000 0.0000 0.6641
Re1 0.0000 0.0000 0.3358



[12]
The following is a DFT calculation (PBE) of ScTaReTc after structural relaxation.

Structure (CIF):
```
data_ScTaReTc
_cell_length_a 6.4213
_cell_length_b 6.4213
_cell_length_c 6.4213
_cell_angle_alpha 90.00
_cell_angle_beta 90.00
_cell_angle_gamma 90.00
_symmetry_space_group_name_H-M 'F -4 3 m'
_symmetry_Int_Tables_number 216
_symmetry_space_group_name_Hall 'F -4 2 3'
loop_
_atom_site_label
_atom_site_fract_x
_atom_site_fract_y
_atom_site_fract_z
Sc1 0.0000 0.0000 0.0000
Ta1 0.0000 0.0000 0.5000
Re1 0.2500 0.2500 0.2500
Tc1 0.2500 0.2500 0.7500
```



[13]
The following is a DFT calculation (PBE) of ScTaTiRe after structural relaxation.

Structure (CIF):
```
data_ScTaTiRe
_cell_length_a 6.5420
_cell_length_b 6.5420
_cell_length_c 6.5420
_cell_angle_alpha 90.00
_cell_angle_beta 90.00
_cell_angle_gamma 90.00
_symmetry_space_group_name_H-M 'F -4 3 m'
_symmetry_Int_Tables_number 216
_symmetry_space_group_name_Hall 'F -4 2 3'
loop_
_atom_site_label
_atom_site_fract_x
_atom_site_fract_y
_atom_site_fract_z
Sc1 0.0000 0.0000 0.0000
Ta1 0.0000 0.0000 0.5000
Ti1 0.2500 0.2500 0.2500
Re1 0.2500 0.2500 0.7500
```



[14]
The following is a DFT calculation (PBE) of ScTa2TlRe after structural relaxation.

Structure (CIF):
```
data_ScTa2TlRe
_cell_length_a 4.6373
_cell_length_b 4.6373
_cell_length_c 5.0696
_cell_angle_alpha 90.00
_cell_angle_beta 90.00
_cell_angle_gamma 90.00
_symmetry_space_group_name_H-M 'P 4/m m m'
_symmetry_Int_Tables_number 123
_symmetry_space_group_name_Hall '-P 4 2'
loop_
_atom_site_label
_atom_site_fract_x
_atom_site_fract_y
_atom_site_fract_z
Sc1 0.0000 0.0000 0.0000
Ta1 0.0000 0.5000 0.0000
Tl1 0.0000 0.0000 0.5000
Re1 0.5000 0.5000 0.5000
```



[15]
The following is a DFT calculation (PBE) of ScTaV2Re after structural relaxation.

Structure (CIF):
```
data_ScTaV2Re
_cell_length_a 4.5689
_cell_length_b 4.5689
_cell_length_c 4.8920
_cell_angle_alpha 90.00
_cell_angle_beta 90.00
_cell_angle_gamma 90.00
_symmetry_space_group_name_H-M 'P 4/m m m'
_symmetry_Int_Tables_number 123
_symmetry_space_group_name_Hall '-P 4 2'
loop_
_atom_site_label
_atom_site_fract_x
_atom_site_fract_y
_atom_site_fract_z
Sc1 0.0000 0.0000 0.0000
Ta1 0.5000 0.5000 0.5000
V1 0.0000 0.5000 0.5000
Re1 0.5000 0.5000 0.0000
```



[16]
The following is a DFT calculation (PBE) of TbScRe after structural relaxation.

Structure (CIF):
```
data_TbScRe
_cell_length_a 6.3578
_cell_length_b 12.1940
_cell_length_c 7.5860
_cell_angle_alpha 90.00
_cell_angle_beta 90.00
_cell_angle_gamma 90.00
_symmetry_space_group_name_H-M 'C m c e'
_symmetry_Int_Tables_number 64
_symmetry_space_group_name_Hall '-C 2ac 2'
loop_
_atom_site_label
_atom_site_fract_x
_atom_site_fract_y
_atom_site_fract_z
Tb1 0.0000 0.1917 0.1103
Sc1 0.2500 0.0465 0.7500
Re1 0.0000 0.0955 0.4600
```



[17]
The following is a DFT calculation (PBE) of TbScRe4 after structural relaxation.

Structure (CIF):
```
data_TbScRe4
_cell_length_a 7.5798
_cell_length_b 7.5798
_cell_length_c 7.5798
_cell_angle_alpha 90.00
_cell_angle_beta 90.00
_cell_angle_gamma 90.00
_symmetry_space_group_name_H-M 'F -4 3 m'
_symmetry_Int_Tables_number 216
_symmetry_space_group_name_Hall 'F -4 2 3'
loop_
_atom_site_label
_atom_site_fract_x
_atom_site_fract_y
_atom_site_fract_z
Tb1 0.0000 0.0000 0.0000
Sc1 0.2500 0.2500 0.2500
Re1 0.1248 0.1248 0.6248
```



[18]
# PBE ScReTc, relaxed
# ΔE to the lowest computed polymorph, meV per atom: 92
data_ScReTc
_cell_length_a 3.1147
_cell_length_b 3.1147
_cell_length_c 10.1187
_cell_angle_alpha 90.00
_cell_angle_beta 90.00
_cell_angle_gamma 90.00
_symmetry_space_group_name_H-M 'I 4 m m'
_symmetry_Int_Tables_number 107
_symmetry_space_group_name_Hall 'I 4 -2'
loop_
_atom_site_label
_atom_site_fract_x
_atom_site_fract_y
_atom_site_fract_z
Sc1 0.0000 0.0000 0.0000
Re1 0.0000 0.0000 0.3203
Tc1 0.0000 0.0000 0.6772



[19]
# PBE ScRe2Tc, relaxed
# ΔE to the lowest computed polymorph, meV per atom: 161
data_ScRe2Tc
_cell_length_a 6.2956
_cell_length_b 6.2956
_cell_length_c 6.2956
_cell_angle_alpha 90.00
_cell_angle_beta 90.00
_cell_angle_gamma 90.00
_symmetry_space_group_name_H-M 'F m -3 m'
_symmetry_Int_Tables_number 225
_symmetry_space_group_name_Hall '-F 4 2 3'
loop_
_atom_site_label
_atom_site_fract_x
_atom_site_fract_y
_atom_site_fract_z
Sc1 0.0000 0.0000 0.0000
Re1 0.2500 0.2500 0.2500
Tc1 0.0000 0.0000 0.5000



[20]
# PBE ScReTc, relaxed
# ΔE to the lowest computed polymorph, meV per atom: 370
data_ScReTc
_cell_length_a 3.1474
_cell_length_b 4.6031
_cell_length_c 13.4887
_cell_angle_alpha 90.00
_cell_angle_beta 90.00
_cell_angle_gamma 90.00
_symmetry_space_group_name_H-M 'F m m 2'
_symmetry_Int_Tables_number 42
_symmetry_space_group_name_Hall 'F 2 -2'
loop_
_atom_site_label
_atom_site_fract_x
_atom_site_fract_y
_atom_site_fract_z
Sc1 0.0000 0.0000 0.0000
Re1 0.0000 0.0000 0.3247
Tc1 0.0000 0.0000 0.6712



no.,E_tot (eV per atom),Fermi-level density of states (states/eV per cell)
1,-9.418,10.10
2,-10.833,6.80
3,-9.825,11.09
4,-10.832,5.36
5,-10.844,3.52
6,-10.306,1.51
7,-10.168,16.87
8,-10.143,18.61
9,-9.953,12.86
10,-7.609,40.65
11,-10.070,5.49
12,-10.509,13.11
13,-9.692,18.36
14,-6.623,8.40
15,-8.524,7.56
16,-7.680,24.89
17,-10.335,29.06
18,-9.909,2.99
19,-10.376,5.66
20,-9.631,12.01